No. 1
Density functional theory data (GGA-PBE) for a relaxed structure of Li8GaHg2.

The calculation puts the formation energy at -0.246 eV/atom. Its symmetry is Immm (71).

Cell: 7.3460 7.3460 7.3460 Å, 144.22 121.24 70.73°
Atoms (fractional coordinates):
Li 0.1401 0.1401 0.0000
Li 0.1514 0.3578 0.7936
Li 0.2998 0.0000 0.2998
Li 0.4358 0.6422 0.7936
Li 0.5642 0.3578 0.2064
Li 0.7002 0.0000 0.7002
Li 0.8486 0.6422 0.2064
Li 0.8599 0.8599 0.0000
Ga 0.0000 0.5000 0.5000
Hg 0.2924 0.7924 0.5000
Hg 0.7076 0.2076 0.5000

=====

No. 2
Density functional theory data (GGA-PBE) for a relaxed structure of CuTeAs2.

The calculation puts the uncorrected formation energy at 0.255 eV per atom. Its symmetry is Cmmm (65).

Cell: 3.1572 3.1572 9.2011 Å, 90.00 90.00 99.12°
Atoms (fractional coordinates):
Cu 0.0000 0.0000 0.0000
Te 0.0000 0.0000 0.5000
As 0.5000 0.5000 0.1493
As 0.5000 0.5000 0.8507

=====

No. 3
Density functional theory data (GGA-PBE) for a relaxed structure of Mn2NbIr2.

The calculation puts the formation energy at -0.101 eV/atom. Its symmetry is P4/mbm (127).

Cell: 7.2673 7.2673 2.6881 Å, 90.00 90.00 90.00°
Atoms (fractional coordinates):
Mn 0.1687 0.3313 0.0000
Mn 0.3313 0.8313 0.0000
Mn 0.6687 0.1687 0.0000
Mn 0.8313 0.6687 0.0000
Nb 0.0000 0.0000 0.5000
Nb 0.5000 0.5000 0.5000
Ir 0.1289 0.6289 0.5000
Ir 0.3711 0.1289 0.5000
Ir 0.6289 0.8711 0.5000
Ir 0.8711 0.3711 0.5000

=====

No. 4
Density functional theory data (GGA-PBE) for a relaxed structure of SrNd3.

The calculation puts the formation energy at 0.126 eV/atom. Its symmetry is Pmm2 (25).

Cell: 3.7695 6.0678 6.7364 Å, 90.00 90.00 90.00°
Atoms (fractional coordinates):
Sr 0.0000 0.0000 0.0000
Nd 0.0000 0.5000 0.6644
Nd 0.5000 0.0000 0.5006
Nd 0.5000 0.5000 0.1955

=====

No. 5
Density functional theory data (GGA-PBE) for a relaxed structure of TcNi3Sn.

The calculation puts the formation energy at 1.051 eV/atom. Its symmetry is Pm-3m (221).

Cell: 4.5148 4.5148 4.5148 Å, 90.00 90.00 90.00°
Atoms (fractional coordinates):
Tc 0.0000 0.0000 0.0000
Ni 0.0000 0.0000 0.5000
Ni 0.0000 0.5000 0.0000
Ni 0.5000 0.0000 0.0000
Sn 0.5000 0.5000 0.5000

=====

No. 6
Density functional theory data (GGA-PBE) for a relaxed structure of ScTaB2.

The calculation puts the formation energy at 0.643 eV/atom. Its symmetry is I-42d (122).

Cell: 6.5725 6.5725 6.5725 Å, 135.11 135.11 65.36°
Atoms (fractional coordinates):
Sc 0.0000 0.0000 0.0000
Sc 0.7500 0.2500 0.5000
Ta 0.2500 0.7500 0.5000
Ta 0.5000 0.5000 0.0000
B 0.1622 0.6250 0.0372
B 0.3750 0.4122 0.5372
B 0.5878 0.1250 0.9628
B 0.8750 0.8378 0.4628

=====

No. 7
Density functional theory data (GGA-PBE) for a relaxed structure of La2OsPt.

The calculation puts the formation energy at 0.070 eV/atom. Its symmetry is I-42d (122).

Cell: 8.1487 8.1487 8.1487 Å, 134.90 134.90 65.69°
Atoms (fractional coordinates):
La 0.0941 0.6250 0.9691
La 0.3750 0.3441 0.4691
La 0.6559 0.1250 0.0309
La 0.8750 0.9059 0.5309
Os 0.0000 0.0000 0.0000
Os 0.7500 0.2500 0.5000
Pt 0.2500 0.7500 0.5000
Pt 0.5000 0.5000 0.0000

=====

No. 8
Density functional theory data (GGA-PBE) for a relaxed structure of Tm5Tl2Ir.

The calculation puts the formation energy at -0.101 eV/atom. Its symmetry is Cmcm (63).

Cell: 8.6052 8.6052 12.3493 Å, 90.00 90.00 143.46°
Atoms (fractional coordinates):
Tm 0.0767 0.9233 0.6030
Tm 0.0767 0.9233 0.8970
Tm 0.2913 0.7087 0.2500
Tm 0.2973 0.7027 0.5726
Tm 0.2973 0.7027 0.9274
Tm 0.7027 0.2973 0.0726
Tm 0.7027 0.2973 0.4274
Tm 0.7087 0.2913 0.7500
Tm 0.9233 0.0767 0.1030
Tm 0.9233 0.0767 0.3970
Tl 0.1142 0.8858 0.1308
Tl 0.1142 0.8858 0.3692
Tl 0.8858 0.1142 0.6308
Tl 0.8858 0.1142 0.8692
Ir 0.1949 0.8051 0.7500
Ir 0.8051 0.1949 0.2500

=====

No. 9
Density functional theory data (GGA-PBE) for a relaxed structure of Cs2TeO.

The calculation puts the uncorrected formation energy at -0.503 eV per atom. Its symmetry is I-42d (122).

Cell: 7.8164 7.8164 7.8164 Å, 112.51 112.51 103.54°
Atoms (fractional coordinates):
Cs 0.0217 0.1250 0.3967
Cs 0.3750 0.9783 0.1033
Cs 0.7283 0.6250 0.6033
Cs 0.8750 0.2717 0.8967
Te 0.2500 0.7500 0.5000
Te 0.5000 0.5000 0.0000
O 0.0000 0.0000 0.0000
O 0.7500 0.2500 0.5000

=====

No. 10
Density functional theory data (GGA-PBE) for a relaxed structure of Ca2TlSn.

The calculation puts the formation energy at -0.536 eV/atom. Its symmetry is P4/mmm (123).

Cell: 5.2631 5.2631 4.2102 Å, 90.00 90.00 90.00°
Atoms (fractional coordinates):
Ca 0.0000 0.5000 0.0000
Ca 0.5000 0.0000 0.0000
Tl 0.0000 0.0000 0.5000
Sn 0.5000 0.5000 0.5000

=====

No. 11
Density functional theory data (GGA-PBE) for a relaxed structure of SrBeCr2.

The calculation puts the formation energy at 0.533 eV/atom. Its symmetry is Pm (6).

Cell: 3.1044 3.0960 7.2599 Å, 90.00 90.17 90.00°
Atoms (fractional coordinates):
Sr 0.0000 0.0000 0.0000
Be 0.4993 0.5000 0.6803
Cr 0.9995 0.0000 0.5207
Cr 0.5005 0.5000 0.3577

=====

No. 12
Density functional theory data (GGA-PBE) for a relaxed structure of LiMgV.

The calculation puts the formation energy at 0.266 eV/atom. Its symmetry is P-1 (2).

Cell: 2.8519 4.4131 8.3178 Å, 96.26 90.25 90.63°
Atoms (fractional coordinates):
Li 0.1170 0.2983 0.2645
Li 0.8830 0.7017 0.7355
Mg 0.2762 0.2284 0.8925
Mg 0.7238 0.7716 0.1075
V 0.3590 0.8155 0.4490
V 0.6410 0.1845 0.5510

=====

No. 13
Density functional theory data (GGA-PBE) for a relaxed structure of MnCuRu2.

The calculation puts the formation energy at 0.172 eV/atom. Its symmetry is C2/m (12).

Cell: 4.5219 4.5219 4.6549 Å, 100.57 100.57 34.60°
Atoms (fractional coordinates):
Mn 0.0000 0.0000 0.0000
Cu 0.5000 0.5000 0.5000
Ru 0.2565 0.2565 0.7519
Ru 0.7435 0.7435 0.2481

=====

No. 14
Density functional theory data (GGA-PBE) for a relaxed structure of Pm7Dy3Sc2.

The calculation puts the formation energy at 0.131 eV/atom. Its symmetry is Cmmm (65).

Cell: 19.0163 19.0163 3.5784 Å, 90.00 90.00 162.64°
Atoms (fractional coordinates):
Pm 0.0000 0.0000 0.0000
Pm 0.0744 0.9256 0.5000
Pm 0.2309 0.7691 0.0000
Pm 0.4046 0.5954 0.0000
Pm 0.5954 0.4046 0.0000
Pm 0.7691 0.2309 0.0000
Pm 0.9256 0.0744 0.5000
Dy 0.3162 0.6838 0.5000
Dy 0.5000 0.5000 0.5000
Dy 0.6838 0.3162 0.5000
Sc 0.1490 0.8510 0.0000
Sc 0.8510 0.1490 0.0000

=====

No. 15
Density functional theory data (GGA-PBE) for a relaxed structure of Ca3CuC.

The calculation puts the formation energy at 0.216 eV/atom. Its symmetry is Pm-3m (221).

Cell: 5.0185 5.0185 5.0185 Å, 90.00 90.00 90.00°
Atoms (fractional coordinates):
Ca 0.0000 0.0000 0.5000
Ca 0.0000 0.5000 0.0000
Ca 0.5000 0.0000 0.0000
Cu 0.5000 0.5000 0.5000
C 0.0000 0.0000 0.0000

=====

No. 16
Density functional theory data (GGA-PBE) for a relaxed structure of MnSiPCl2.

The calculation puts the uncorrected formation energy at 0.491 eV per atom. Its symmetry is P4/mmm (123).

Cell: 4.5255 4.5255 4.6771 Å, 90.00 90.00 90.00°
Atoms (fractional coordinates):
Mn 0.0000 0.0000 0.0000
Si 0.5000 0.5000 0.5000
P 0.0000 0.0000 0.5000
Cl 0.0000 0.5000 0.0000
Cl 0.5000 0.0000 0.0000

=====

No. 17
Density functional theory data (GGA-PBE) for a relaxed structure of Al2PPt.

The calculation puts the formation energy at -0.340 eV/atom. Its symmetry is Cmmm (65).

Cell: 4.5085 4.5085 3.0583 Å, 90.00 90.00 105.81°
Atoms (fractional coordinates):
Al 0.0000 0.5000 0.0000
Al 0.5000 0.0000 0.0000
P 0.0000 0.0000 0.5000
Pt 0.5000 0.5000 0.5000

=====

No. 18
Density functional theory data (GGA-PBE) for a relaxed structure of Pa2FeI2.

The calculation puts the uncorrected formation energy at -0.560 eV per atom. Its symmetry is R-3m (166).

Cell: 11.6664 11.6664 11.6664 Å, 19.60 19.60 19.60°
Atoms (fractional coordinates):
Pa 0.1275 0.1275 0.1275
Pa 0.8725 0.8725 0.8725
Fe 0.5000 0.5000 0.5000
I 0.2737 0.2737 0.2737
I 0.7263 0.7263 0.7263

=====

No. 19
Density functional theory data (GGA-PBE) for a relaxed structure of TeO4.

The calculation puts the uncorrected formation energy at 0.133 eV per atom. Its symmetry is Pm-3m (221).

Cell: 3.8890 3.8890 3.8890 Å, 90.00 90.00 90.00°
Atoms (fractional coordinates):
Te 0.0000 0.0000 0.0000
O 0.0000 0.0000 0.5000
O 0.0000 0.5000 0.0000
O 0.5000 0.0000 0.0000
O 0.5000 0.5000 0.5000

=====

No. 20
Density functional theory data (GGA-PBE) for a relaxed structure of Pu2RuPt.

The calculation puts the formation energy at -0.433 eV/atom. Its symmetry is P4/mmm (123).

Cell: 3.3715 3.3715 7.1712 Å, 90.00 90.00 90.00°
Atoms (fractional coordinates):
Pu 0.0000 0.0000 0.2426
Pu 0.0000 0.0000 0.7574
Ru 0.5000 0.5000 0.0000
Pt 0.5000 0.5000 0.5000

=====

Volume, record by record: 17.71; 22.64; 14.20; 38.52; 18.41; 17.42; 33.43; 34.03; 45.59; 29.16; 17.44; 17.34; 13.26; 32.17; 25.28; 19.16; 14.95; 31.24; 11.76; 20.38 A^3/atom